# PBE-GGA LaPr3Pd3, optimized geometry
data_LaPr3Pd3
_chemical_formula_sum 'La4 Pr12 Pd12'
_symmetry_space_group_name_H-M 'C 1 2/m 1'
_symmetry_Int_Tables_number 12
_symmetry_space_group_name_Hall '-C 2y'
_cell_length_a 9.837
_cell_length_b 10.721
_cell_length_c 7.299
_cell_angle_alpha 90.00
_cell_angle_beta 90.77
_cell_angle_gamma 90.00
loop_
_atom_site_label
_atom_site_fract_x
_atom_site_fract_y
_atom_site_fract_z
_atom_site_occupancy
La1 0.245 0.000 0.378 1
Pr1 0.000 0.246 0.500 1
Pr2 0.000 0.322 0.000 1
Pr3 0.159 0.000 0.879 1
Pd1 0.065 0.500 0.310 1
Pd2 0.241 0.246 0.220 1
# - DOS at the Fermi energy: 6.86 states/eV/f.u.
# - Calculated formation energy: -0.59 eV per atom



# PBE-GGA PuTh3P4, optimized geometry
data_PuTh3P4
_chemical_formula_sum 'Pu2 Th6 P8'
_symmetry_space_group_name_H-M 'P 1 2/c 1'
_symmetry_Int_Tables_number 13
_symmetry_space_group_name_Hall '-P 2yc'
_cell_length_a 7.122
_cell_length_b 8.229
_cell_length_c 7.138
_cell_angle_alpha 90.00
_cell_angle_beta 109.41
_cell_angle_gamma 90.00
loop_
_atom_site_label
_atom_site_fract_x
_atom_site_fract_y
_atom_site_fract_z
_atom_site_occupancy
Pu1 0.000 0.124 0.250 1
Th1 0.000 0.374 0.750 1
Th2 0.500 0.124 0.750 1
Th3 0.500 0.373 0.250 1
P1 0.244 0.122 0.001 1
P2 0.248 0.373 0.497 1
# - DOS at the Fermi energy: 13.68 states/eV/f.u.
# - Calculated formation energy: -1.47 eV per atom



# PBE-GGA Nd3SmHo12, optimized geometry
data_Nd3SmHo12
_chemical_formula_sum 'Nd3 Sm1 Ho12'
_symmetry_space_group_name_H-M 'P 4/m m m'
_symmetry_Int_Tables_number 123
_symmetry_space_group_name_Hall '-P 4 2'
_cell_length_a 5.031
_cell_length_b 5.031
_cell_length_c 20.144
_cell_angle_alpha 90.00
_cell_angle_beta 90.00
_cell_angle_gamma 90.00
loop_
_atom_site_label
_atom_site_fract_x
_atom_site_fract_y
_atom_site_fract_z
_atom_site_occupancy
Nd1 0.000 0.000 0.000 1
Nd2 0.000 0.000 0.250 1
Sm1 0.000 0.000 0.500 1
Ho1 0.000 0.500 0.125 1
Ho2 0.000 0.500 0.376 1
Ho3 0.500 0.500 0.000 1
Ho4 0.500 0.500 0.251 1
Ho5 0.500 0.500 0.500 1
# - DOS at the Fermi energy: 22.14 states/eV/f.u.
# - Calculated formation energy: 0.02 eV per atom



# PBE-GGA TlSb2Pt, optimized geometry
data_TlSb2Pt
_chemical_formula_sum 'Tl1 Sb2 Pt1'
_symmetry_space_group_name_H-M 'P 4 m m'
_symmetry_Int_Tables_number 99
_symmetry_space_group_name_Hall 'P 4 -2'
_cell_length_a 3.420
_cell_length_b 3.420
_cell_length_c 8.485
_cell_angle_alpha 90.00
_cell_angle_beta 90.00
_cell_angle_gamma 90.00
loop_
_atom_site_label
_atom_site_fract_x
_atom_site_fract_y
_atom_site_fract_z
_atom_site_occupancy
Tl1 0.000 0.000 0.000 1
Sb1 0.000 0.000 0.410 1
Sb2 0.500 0.500 0.706 1
Pt1 0.500 0.500 0.249 1
# - Raw total energy: -16.6 eV for the cell shown
# - DOS at the Fermi energy: 2.01 states/eV/f.u.